Computed, not measured: crystalline CaAlNi2 at its relaxed geometry at the PBE level of DFT. Values from VASP.

```
&SYSTEM
  ibrav = 0, nat = 4, ntyp = 3
/
ATOMIC_SPECIES
Ca 40.08 Ca.upf
Al 26.98 Al.upf
Ni 58.69 Ni.upf
ATOMIC_POSITIONS angstrom
Ca 0.0000 0.0000 0.0000
Al 0.0000 2.2362 2.0245
Ni 1.4685 0.0000 2.6701
Ni 0.0000 0.0000 4.7542
CELL_PARAMETERS angstrom
-1.4685 2.2362 4.7862
1.4685 -2.2362 4.7862
1.4685 2.2362 -4.7862
```

Properties
ΔH_f (0 K)	-0.102	eV per atom
spin magnetization	0.0	Bohr magnetons per cell